Entry 1:
Compound: DyHoTe2
Source: the Alexandria database
Functional: PBE
Structure: optimized geometry

Summary:
The total magnetic moment is 1.13 μB/cell. The value obtained for the uncorrected energy is -20.05 eV/cell. The value obtained for the formation energy without anion corrections is -1.147 eV per atom.

Cell: 3.7722 5.3378 5.3378 Å, 90.00 90.00 90.00°
Last column: magnetic moment on the atom in μB.
Fractional coordinates of all 4 atoms:
Te (0.0000, 0.0000, 0.5000)  -0.01
Te (0.0000, 0.5000, 0.0000)  -0.01
Dy (0.5000, 0.5000, 0.5000)  0.39
Ho (0.5000, 0.0000, 0.0000)  0.40

Entry 2:
Compound: Mo3W
Source: the Alexandria database
Functional: PBE
Structure: optimized geometry

Summary:
The total magnetic moment is 0.38 μB/cell. The value obtained for the uncorrected energy is -34.58 eV/cell. The energy relative to the elements is 1049 kJ/mol of formula units.

Cell: 4.7911 4.7911 4.7911 Å, 90.00 90.00 90.00°
Last column: magnetic moment on the atom in μB.
Fractional coordinates of all 4 atoms:
W (0.0000, 0.0000, 0.0000)  -0.01
Mo (0.5000, 0.0000, 0.0000)  0.12
Mo (0.0000, 0.5000, 0.0000)  0.12
Mo (0.0000, 0.0000, 0.5000)  0.12

Entry 3:
Compound: NaCeAu2
Source: the Alexandria database
Functional: PBE
Structure: optimized geometry

Summary:
The total magnetic moment is 1.30 μB/cell. The value obtained for the uncorrected energy is -15.67 eV/cell. The energy relative to the elements is -179 kJ/mol of formula units.

Cell: 3.4196 5.2338 5.2338 Å, 90.00 90.00 90.00°
Last column: magnetic moment on the atom in μB.
Fractional coordinates of all 4 atoms:
Au (0.0000, 0.5000, 0.0000)  0.02
Au (0.0000, 0.0000, 0.5000)  0.02
Ce (0.5000, 0.5000, 0.5000)  0.97
Na (0.5000, 0.0000, 0.0000)  0.00

Entry 4:
Compound: V6ReRh
Source: the Alexandria database
Functional: PBE
Structure: optimized geometry

Summary:
The total magnetic moment is 0.00 μB/cell. The value obtained for the uncorrected energy is -76.76 eV/cell. The energy relative to the elements is -217 kJ/mol of formula units.

Cell: 4.2360 5.2148 5.2148 Å, 109.52 90.00 90.00°
Fractional coordinates of all 8 atoms:
V (0.0000, 0.6264, 0.3736)
V (0.5000, 0.8729, 0.1271)
V (0.0000, 0.6276, 0.8774)
V (0.0000, 0.1226, 0.3724)
V (0.5000, 0.8664, 0.6156)
V (0.5000, 0.3844, 0.1336)
Rh (0.0000, 0.1236, 0.8764)
Re (0.5000, 0.3756, 0.6244)

Entry 5:
Compound: Hf6ZnIn3
Source: the Alexandria database
Functional: PBE
Structure: optimized geometry

Summary:
The total magnetic moment is 0.00 μB/cell. The value obtained for the uncorrected energy is -137.75 eV/cell. The energy relative to the elements is 32 kJ/mol of formula units.

Cell: 5.8437 9.4760 9.4760 Å, 122.79 90.00 90.00°
Fractional coordinates of all 20 atoms:
Hf (0.5790, 0.2349, 0.3858)
Hf (0.0790, 0.7651, 0.6142)
Hf (0.7130, 0.2738, 0.7262)
Hf (0.7774, 0.5784, 0.0747)
Hf (0.2774, 0.0747, 0.5784)
Hf (0.2130, 0.7262, 0.2738)
Hf (0.2973, 0.0165, 0.9835)
Hf (0.7774, 0.9253, 0.4216)
Hf (0.7973, 0.9835, 0.0165)
Hf (0.2774, 0.4216, 0.9253)
Hf (0.5790, 0.6142, 0.7651)
Hf (0.0790, 0.3858, 0.2349)
In (0.0899, 0.7039, 0.9180)
In (0.0899, 0.0820, 0.2961)
In (0.5758, 0.5857, 0.4143)
In (0.5899, 0.2961, 0.0820)
In (0.5899, 0.9180, 0.7039)
In (0.0758, 0.4143, 0.5857)
Zn (0.0066, 0.1415, 0.8585)
Zn (0.5066, 0.8585, 0.1415)

Entry 6:
Compound: AcErAl2Si
Source: the Alexandria database
Functional: PBE
Structure: optimized geometry

Summary:
The total magnetic moment is 0.00 μB/cell. The value obtained for the uncorrected energy is -23.84 eV/cell. The value obtained for the formation energy without anion corrections is -0.452 eV per atom.

Cell: 4.4477 4.5416 6.8808 Å, 109.27 108.86 90.00°
Fractional coordinates of all 5 atoms:
Ac (0.4396, 0.4396, 0.8792)
Er (0.1974, 0.6974, 0.3947)
Al (0.0482, 0.0482, 0.0963)
Al (0.6879, 0.1879, 0.3757)
Si (0.8391, 0.8391, 0.6783)

Entry 7:
Compound: Ac2DySn
Source: the Alexandria database
Functional: PBE
Structure: optimized geometry

Summary:
The total magnetic moment is 0.00 μB/cell. The value obtained for the uncorrected energy is -18.09 eV/cell. The energy relative to the elements is -122 kJ/mol of formula units.

Cell: 5.1166 5.1845 5.1845 Å, 90.00 90.00 90.00°
Fractional coordinates of all 4 atoms:
Ac (0.0000, 0.0000, 0.5000)
Ac (0.0000, 0.5000, 0.0000)
Sn (0.5000, 0.0000, 0.0000)
Dy (0.5000, 0.5000, 0.5000)

- Which value of total magnetic moment does entry 1 give?
  1.13 μB/cell

- Which formula does entry 4 have?
  V6ReRh

- What is the uncorrected energy in the fourth record?
  -76.76 eV/cell